This record from the Alexandria database describes a relaxed Si2RhSe crystal. The functional is PBE.

The structure in CIF format:
```
data_Si2RhSe
_chemical_formula_sum 'Si2 Rh1 Se1'
_cell_length_a 3.0211
_cell_length_b 3.0211
_cell_length_c 6.8116
_cell_angle_alpha 90.00
_cell_angle_beta 90.00
_cell_angle_gamma 90.00
_symmetry_space_group_name_H-M 'P 1'
_symmetry_Int_Tables_number 1
loop_
_symmetry_equiv_pos_as_xyz
'x,y,z'
loop_
_atom_site_label
_atom_site_fract_x
_atom_site_fract_y
_atom_site_fract_z
_atom_site_occupancy
Si1 0.0000 0.0000 0.2184 1
Si2 0.0000 0.0000 0.7816 1
Rh1 0.5000 0.5000 0.0000 1
Se1 0.5000 0.5000 0.5000 1
```

Output
Raw formation energy ... 0.0377 eV/atom
Magnetization ... 0.0 μB per cell
D(E_F) ... 0.541 states/eV/atom